Entry 1:
CrRhSeN2: optimized geometry, PBE-GGA.

It has space group P4/mmm (No. 123), with a = 3.7781 Å, b = 3.7781 Å, c = 5.6276 Å, α = 90.00°, β = 90.00° and γ = 90.00°. The distinct sites, in fractional coordinates, are Cr at (0.0000, 0.0000, 0.0000), Rh at (0.5000, 0.5000, 0.5000), Se at (0.5000, 0.5000, 0.0000) and N at (0.0000, 0.5000, 0.5000).

For the density of states at the Fermi level, the calculation gives 0.55 states/eV/atom. Its excess energy over the best structure of this formula in the dataset is 7.641 kcal/mol of atoms. The crystal system is tetragonal. For the formation energy without anion corrections, the calculation gives 0.976 eV/atom.

=====

Entry 2:
LaI2Br: optimized geometry, PBE-GGA.

It has space group Fm-3m (No. 225), with a = 8.0210 Å, b = 8.0210 Å, c = 8.0210 Å, α = 90.00°, β = 90.00° and γ = 90.00°. The distinct sites, in fractional coordinates, are La at (0.0000, 0.0000, 0.0000), I at (0.2500, 0.2500, 0.2500) and Br at (0.0000, 0.0000, 0.5000).

For the density of states at the Fermi level, the calculation gives 0.00 states/eV/atom. Its excess energy over the best structure of this formula in the dataset is 10.018 kcal/mol of atoms. The crystal system is cubic. For the formation energy without anion corrections, the calculation gives -1.256 eV/atom.

=====

Entry 3:
SrLiCoGe2: optimized geometry, PBE-GGA.

It has space group I-4m2 (No. 119), with a = 4.2615 Å, b = 4.2615 Å, c = 10.2984 Å, α = 90.00°, β = 90.00° and γ = 90.00°. The distinct sites, in fractional coordinates, are Sr at (0.0000, 0.0000, 0.0000), Li at (0.0000, 0.5000, 0.7500), Co at (0.0000, 0.5000, 0.2500) and Ge at (0.0000, 0.0000, 0.3662).

For the density of states at the Fermi level, the calculation gives 0.73 states/eV/atom. As for the formation energy: -0.345 eV per atom. Its excess energy over the best structure of this formula in the dataset is 0.000 kcal/mol of atoms. The crystal system is tetragonal.

=====

Entry 4:
Y3ThAl8: optimized geometry, PBE-GGA.

It has space group P3m1 (No. 156), with a = 5.5710 Å, b = 5.5710 Å, c = 9.2783 Å, α = 90.00°, β = 90.00° and γ = 120.00°. The distinct sites, in fractional coordinates, are Y at (0.0000, 0.0000, 0.0000), Y at (0.0000, 0.0000, 0.3648), Y at (0.3333, 0.6667, 0.8661), Th at (0.3333, 0.6667, 0.5003), Al at (0.0077, 0.5038, 0.1820), Al at (0.3265, 0.1632, 0.6864), Al at (0.6667, 0.3333, 0.4307) and Al at (0.6667, 0.3333, 0.9373).

For the density of states at the Fermi level, the calculation gives 0.65 states/eV/atom. As for the formation energy: -0.487 eV per atom. Its excess energy over the best structure of this formula in the dataset is 0.298 kcal/mol of atoms. The crystal system is trigonal.

=====

Entry 5:
SmTh5N6: optimized geometry, PBE-GGA.

It has space group C2/m (No. 12), with a = 6.3202 Å, b = 10.9458 Å, c = 6.3227 Å, α = 90.00°, β = 109.43° and γ = 90.00°. The distinct sites, in fractional coordinates, are Sm at (0.0000, 0.0000, 0.0000), Th at (0.0000, 0.1656, 0.5000), Th at (0.0000, 0.3333, 0.0000), Th at (0.0000, 0.5000, 0.5000), N at (0.2475, 0.3315, 0.7482) and N at (0.2468, 0.5000, 0.2517).

For the density of states at the Fermi level, the calculation gives 0.47 states/eV/atom. The crystal system is monoclinic. For the formation energy without anion corrections, the calculation gives -1.562 eV/atom.

=====

Entry 6:
NbTl3Ir: optimized geometry, PBE-GGA.

It has space group Pm-3m (No. 221), with a = 5.4065 Å, b = 5.4065 Å, c = 5.4065 Å, α = 90.00°, β = 90.00° and γ = 90.00°. The distinct sites, in fractional coordinates, are Nb at (0.0000, 0.0000, 0.0000), Tl at (0.0000, 0.0000, 0.5000) and Ir at (0.5000, 0.5000, 0.5000).

For the density of states at the Fermi level, the calculation gives 1.40 states/eV/atom. As for the formation energy: 1.596 eV per atom. Its excess energy over the best structure of this formula in the dataset is 10.072 kcal/mol of atoms. The crystal system is cubic.

=====

Entry 7:
HfAlTe: optimized geometry, PBE-GGA.

It has space group Cm (No. 8), with a = 10.1467 Å, b = 3.8326 Å, c = 7.5472 Å, α = 90.00°, β = 112.60° and γ = 90.00°. The distinct sites, in fractional coordinates, are Hf at (0.0000, 0.0000, 0.0000), Hf at (0.1421, 0.5000, 0.7241), Al at (0.2099, 0.5000, 0.2032), Al at (0.2929, 0.0000, 0.0259), Te at (0.0006, 0.0000, 0.3942) and Te at (0.3496, 0.0000, 0.6790).

For the density of states at the Fermi level, the calculation gives 0.25 states/eV/atom. Its excess energy over the best structure of this formula in the dataset is 2.833 kcal/mol of atoms. The crystal system is monoclinic. For the formation energy without anion corrections, the calculation gives -0.369 eV/atom.

=====

Entry 8:
Ce3Te2N2: optimized geometry, PBE-GGA.

It has space group P-1 (No. 2), with a = 3.6635 Å, b = 6.2176 Å, c = 7.6549 Å, α = 97.30°, β = 103.84° and γ = 107.11°. The distinct sites, in fractional coordinates, are Ce at (0.0000, 0.0000, 0.0000), Ce at (0.1059, 0.4294, 0.7821), Te at (0.3104, 0.2115, 0.4080) and N at (0.3809, 0.7215, 0.0401).

For the density of states at the Fermi level, the calculation gives 1.72 states/eV/atom. Its excess energy over the best structure of this formula in the dataset is 4.695 kcal/mol of atoms. The crystal system is triclinic. For the formation energy without anion corrections, the calculation gives -1.321 eV/atom.

=====

Which formula does entry 6 have?
NbTl3Ir

=====

Which formula does entry 4 have?
Y3ThAl8